No. 1
Entry from the Alexandria database: crystalline Pa4SiTe2As at its relaxed geometry (PBE).

The structure belongs to space group P2/m (No. 10); the cell edges are 7.121, 4.112 and 7.596 Å and the angles 90.00°, 108.22° and 90.00°. Symmetry generates all atoms from Pa at (0.234, 0.000, 0.217), Pa at (0.255, 0.500, 0.781), Si at (0.000, 0.500, 0.000), Te at (0.000, 0.000, 0.500), Te at (0.500, 0.500, 0.500) and As at (0.500, 0.000, 0.000).

As for the crystal system: monoclinic. Its density of states at the Fermi level is 1.59 states/eV/atom. The calculation puts the final energy at -7.518 eV/atom.



No. 2
Entry from the Alexandria database: crystalline Na2CdGe at its relaxed geometry (PBE).

The structure belongs to space group P4/mmm (No. 123); the cell edges are 4.376, 4.376 and 4.847 Å and the angles 90.00°, 90.00° and 90.00°. Symmetry generates all atoms from Na at (0.000, 0.500, 0.000), Cd at (0.000, 0.000, 0.500) and Ge at (0.500, 0.500, 0.500).

As for the crystal system: tetragonal. Its density of states at the Fermi level is 0.70 states/eV/atom. The calculation puts the final energy at -2.032 eV/atom. The formation energy is 0.010 eV/atom.



No. 3
Entry from the Alexandria database: crystalline PaFe2Pd7 at its relaxed geometry (PBE).

The structure belongs to space group Cmmm (No. 65); the cell edges are 7.314, 12.422 and 4.357 Å and the angles 90.00°, 90.00° and 90.00°. Symmetry generates all atoms from Pa at (0.000, 0.000, 0.000), Fe at (0.000, 0.304, 0.500), Pd at (0.000, 0.214, 0.000), Pd at (0.000, 0.500, 0.500) and Pd at (0.186, 0.116, 0.500).

As for the crystal system: orthorhombic. Its density of states at the Fermi level is 0.74 states/eV/atom. The calculation puts the final energy at -6.162 eV/atom. The formation energy is 0.115 eV/atom.



These records have theoretical density values of 10.08; 4.13; 9.12 Mg/m³, in the order they appear.